(1)
NbSeI3, relaxed, DFT PBE; space group = Pm-3m (221); N(E_F) = 7.92 states/eV per cell; formation energy without anion corrections = 0.9543 eV per atom; crystal system = cubic
1.0
-4.381 3.123 -1.909
-1.390 -4.174 -3.639
-3.386 -2.328 3.964
Se I Nb
1 3 1
direct
0.000 0.000 0.000 Se
0.000 0.500 0.000 I
0.500 0.000 0.000 I
0.000 0.000 0.500 I
0.500 0.500 0.500 Nb

(2)
NbTe2Se2I6, relaxed, DFT PBE; space group = P-1 (2); formation energy without anion corrections = -0.3337 eV per atom; crystal system = triclinic
1.0
0.727 11.236 2.030
-5.377 -4.078 -11.002
-11.871 -4.389 10.522
I Se Te Nb
24 8 8 4
direct
0.687 0.866 0.161 I
0.374 0.601 0.387 I
0.142 0.612 0.633 I
0.626 0.399 0.613 I
0.722 0.451 0.873 I
0.787 0.921 0.430 I
0.313 0.134 0.839 I
0.750 0.324 0.107 I
0.667 0.987 0.927 I
0.967 0.851 0.922 I
0.906 0.211 0.591 I
0.858 0.388 0.367 I
0.333 0.013 0.073 I
0.213 0.079 0.570 I
0.278 0.549 0.127 I
0.856 0.795 0.654 I
0.449 0.072 0.340 I
0.551 0.928 0.660 I
0.094 0.789 0.409 I
0.984 0.719 0.140 I
0.016 0.281 0.860 I
0.250 0.676 0.893 I
0.033 0.149 0.078 I
0.144 0.205 0.346 I
0.480 0.609 0.645 Se
0.705 0.595 0.376 Se
0.612 0.542 0.139 Se
0.573 0.662 0.882 Se
0.427 0.338 0.118 Se
0.295 0.405 0.624 Se
0.388 0.458 0.861 Se
0.520 0.391 0.355 Se
0.421 0.838 0.782 Te
0.579 0.162 0.218 Te
0.830 0.651 0.766 Te
0.038 0.416 0.741 Te
0.550 0.770 0.278 Te
0.450 0.230 0.722 Te
0.962 0.584 0.259 Te
0.170 0.349 0.234 Te
0.337 0.578 0.757 Nb
0.530 0.490 0.749 Nb
0.663 0.422 0.243 Nb
0.470 0.510 0.251 Nb

(3)
ThNb2Se4I2, relaxed, DFT PBE; space group = P3m1 (156); N(E_F) = 5.78 states/eV per cell; formation energy without anion corrections = -0.8395 eV per atom; crystal system = trigonal
1.0
-3.000 -2.044 0.347
2.504 0.026 2.650
-10.689 17.369 9.929
Nb I Se Th
2 2 4 1
direct
0.000 0.000 0.967 Nb
0.667 0.333 0.664 Nb
0.667 0.333 0.434 I
0.667 0.333 0.223 I
0.000 0.000 0.736 Se
0.667 0.333 0.039 Se
0.000 0.000 0.592 Se
0.667 0.333 0.895 Se
0.000 0.000 0.328 Th

(4)
NbW2SeI, relaxed, DFT PBE; space group = P4/mmm (123); offset from the most stable computed form = 0 meV per atom; N(E_F) = 6.71 states/eV per cell; formation energy without anion corrections = 2.1203 eV per atom; crystal system = tetragonal
1.0
4.991 0.000 0.000
0.000 5.210 0.000
0.000 0.000 4.991
Se I Nb W
1 1 1 2
direct
0.500 0.500 0.500 Se
0.000 0.500 0.000 I
0.000 0.000 0.000 Nb
0.500 0.000 0.000 W
0.000 0.000 0.500 W

(5)
NbW2SeI, relaxed, DFT PBE; space group = P4/mmm (123); offset from the most stable computed form = 354 meV per atom; N(E_F) = 2.00 states/eV per cell; formation energy without anion corrections = 2.4740 eV per atom; crystal system = tetragonal
1.0
-0.929 -4.802 -0.246
2.049 -0.161 -4.590
4.375 -0.948 1.986
W I Se Nb
2 1 1 1
direct
0.000 0.000 0.500 W
0.500 0.000 0.000 W
0.000 0.000 0.000 I
0.500 0.500 0.500 Se
0.000 0.500 0.000 Nb

(6)
Nb3SiI, relaxed, DFT PBE; space group = Pm-3m (221); offset from the most stable computed form = 912 meV per atom; N(E_F) = 4.31 states/eV per cell; formation energy without anion corrections = 1.8285 eV per atom; crystal system = cubic
1.0
-1.663 -4.614 0.856
2.084 0.087 4.520
-4.204 1.868 1.902
Si I Nb
1 1 3
direct
0.500 0.500 0.500 Si
0.000 0.000 0.000 I
0.000 0.500 0.000 Nb
0.500 0.000 0.000 Nb
0.000 0.000 0.500 Nb

(7)
Nb3SiI, relaxed, DFT PBE; space group = Pm-3m (221); offset from the most stable computed form = 0 meV per atom; N(E_F) = 7.53 states/eV per cell; formation energy without anion corrections = 0.9170 eV per atom; crystal system = cubic
1.0
4.785 0.000 0.000
0.000 4.785 0.000
0.000 0.000 4.785
Si I Nb
1 1 3
direct
0.000 0.000 0.000 Si
0.500 0.500 0.500 I
0.500 0.000 0.000 Nb
0.000 0.500 0.000 Nb
0.000 0.000 0.500 Nb

(8)
NbSiI3, relaxed, DFT PBE; space group = Pm-3m (221); offset from the most stable computed form = 0 meV per atom; N(E_F) = 4.01 states/eV per cell; formation energy without anion corrections = 0.6189 eV per atom; crystal system = cubic
1.0
5.671 0.000 0.000
0.000 5.671 0.000
0.000 0.000 5.671
I Si Nb
3 1 1
direct
0.000 0.500 0.000 I
0.500 0.000 0.000 I
0.000 0.000 0.500 I
0.500 0.500 0.500 Si
0.000 0.000 0.000 Nb

(9)
NbSiI3, relaxed, DFT PBE; space group = Pm-3m (221); offset from the most stable computed form = 263 meV per atom; N(E_F) = 7.79 states/eV per cell; formation energy without anion corrections = 0.8822 eV per atom; crystal system = cubic
1.0
-1.736 -0.248 -5.275
2.875 -4.702 -0.726
-4.429 -2.955 1.597
Si Nb I
1 1 3
direct
0.000 0.000 0.000 Si
0.500 0.500 0.500 Nb
0.500 0.000 0.000 I
0.000 0.500 0.000 I
0.000 0.000 0.500 I

(10)
SmNbI, relaxed, DFT PBE; space group = Cmcm (63); N(E_F) = 2.66 states/eV per cell; formation energy without anion corrections = -0.3625 eV per atom; crystal system = orthorhombic
1.0
4.180 0.000 1.813
0.000 3.809 0.000
4.199 -1.904 13.212
I Nb Sm
2 2 2
direct
0.948 0.826 0.651 I
0.052 0.174 0.349 I
0.655 0.024 0.048 Nb
0.345 0.976 0.952 Nb
0.149 0.400 0.800 Sm
0.851 0.600 0.200 Sm

(11)
Sm2NbI, relaxed, DFT PBE; space group = R-3m (166); N(E_F) = 5.66 states/eV per cell; formation energy without anion corrections = 0.3704 eV per atom; crystal system = trigonal
1.0
-0.094 -2.162 2.737
2.839 -1.830 0.876
4.157 6.840 7.769
Sm I Nb
2 1 1
direct
0.089 0.089 0.734 Sm
0.911 0.911 0.266 Sm
0.500 0.500 0.500 I
0.000 0.000 0.000 Nb

(12)
Nb2SnI, relaxed, DFT PBE; space group = I-42d (122); offset from the most stable computed form = 536 meV per atom; N(E_F) = 10.16 states/eV per cell; formation energy without anion corrections = 0.9236 eV per atom; crystal system = tetragonal
1.0
-2.290 7.444 0.100
-5.859 -1.737 -4.830
-5.890 2.263 0.050
I Nb Sn
2 4 2
direct
0.750 0.250 0.500 I
0.000 0.000 0.000 I
0.653 0.125 0.250 Nb
0.875 0.903 0.750 Nb
0.375 0.347 0.750 Nb
0.097 0.625 0.250 Nb
0.500 0.500 0.000 Sn
0.250 0.750 0.500 Sn